# 1
{
  "formula": "Li3Rh",
  "functional": "SCAN",
  "state": "single point on PBEsol structure",
  "e_tot_ev_per_atom": -10.30,
  "formation_energy_mev_per_atom": -69,
  "magmom_total_mub_per_fu": 0.002,
  "vol_a3_per_atom": 13.0,
  "lattice": [[3.7337, 0.0000, 0.0000], [0.0000, 3.7337, 0.0000], [0.0000, 0.0000, 3.7337]],
  "species": ["Li", "Li", "Li", "Rh"],
  "frac_coords": [[0.0000, 0.0000, 0.5000], [0.0000, 0.5000, 0.0000], [0.5000, 0.0000, 0.0000], [0.5000, 0.5000, 0.5000]]
}

---

# 2
{
  "formula": "CuTc2Mo",
  "functional": "SCAN",
  "state": "single point on PBEsol structure",
  "e_tot_ev_per_atom": -29.88,
  "formation_energy_mev_per_atom": 170,
  "magmom_total_mub_per_fu": 0.000,
  "relative_energy_ev_per_atom": 0.000,
  "vol_a3_per_atom": 13.9,
  "lattice": [[2.5819, 0.0000, 0.0000], [0.0000, 4.2959, 0.0000], [-0.8456, 0.0000, 4.9956]],
  "species": ["Cu", "Tc", "Tc", "Mo"],
  "frac_coords": [[0.0000, 0.0000, 0.0000], [0.2805, 0.5000, 0.7591], [0.7195, 0.5000, 0.2409], [0.5000, 0.0000, 0.5000]]
}

---

# 3
{
  "formula": "Zr3Cu4",
  "functional": "SCAN",
  "state": "single point on PBEsol structure",
  "e_tot_ev_per_atom": -22.00,
  "formation_energy_mev_per_atom": -157,
  "magmom_total_mub_per_fu": 0.358,
  "vol_a3_per_atom": 16.0,
  "lattice": [[-1.6257, 1.6257, 10.5921], [1.6257, -1.6257, 10.5921], [1.6257, 1.6257, -10.5921]],
  "species": ["Zr", "Zr", "Zr", "Cu", "Cu", "Cu", "Cu"],
  "frac_coords": [[0.0000, 0.0000, 0.0000], [0.2979, 0.2979, 0.0000], [0.7021, 0.7021, 0.0000], [0.1284, 0.1284, 0.0000], [0.4277, 0.4277, 0.0000], [0.5723, 0.5723, 0.0000], [0.8716, 0.8716, 0.0000]]
}

---

# 4
{
  "formula": "Al2SnAu2",
  "functional": "SCAN",
  "state": "single point on PBEsol structure",
  "e_tot_ev_per_atom": -38.32,
  "formation_energy_mev_per_atom": -371,
  "magmom_total_mub_per_fu": 0.000,
  "vol_a3_per_atom": 19.1,
  "lattice": [[-2.0068, 2.0068, 5.9293], [2.0068, -2.0068, 5.9293], [2.0068, 2.0068, -5.9293]],
  "species": ["Al", "Al", "Sn", "Au", "Au"],
  "frac_coords": [[0.2500, 0.7500, 0.5000], [0.7500, 0.2500, 0.5000], [0.0000, 0.0000, 0.0000], [0.3834, 0.3834, 0.0000], [0.6166, 0.6166, 0.0000]]
}

---

# 5
{
  "formula": "Sc2ZnRu2",
  "functional": "SCAN",
  "state": "single point on PBEsol structure",
  "e_tot_ev_per_atom": -22.79,
  "formation_energy_mev_per_atom": -458,
  "magmom_total_mub_per_fu": 0.000,
  "vol_a3_per_atom": 16.6,
  "lattice": [[6.6030, 0.0000, 0.0000], [0.0000, 6.6030, 0.0000], [0.0000, 0.0000, 3.8106]],
  "species": ["Sc", "Sc", "Sc", "Sc", "Zn", "Zn", "Ru", "Ru", "Ru", "Ru"],
  "frac_coords": [[0.1705, 0.3295, 0.0000], [0.3295, 0.8295, 0.0000], [0.6705, 0.1705, 0.0000], [0.8295, 0.6705, 0.0000], [0.0000, 0.0000, 0.5000], [0.5000, 0.5000, 0.5000], [0.1409, 0.6409, 0.5000], [0.3591, 0.1409, 0.5000], [0.6409, 0.8591, 0.5000], [0.8591, 0.3591, 0.5000]]
}

---

# 6
{
  "formula": "FeOsSe2",
  "functional": "SCAN",
  "state": "single point on PBEsol structure",
  "e_tot_ev_per_atom": -31.49,
  "e_form_raw_mev_per_atom": 1050.8,
  "magmom_total_mub_per_fu": 4.130,
  "relative_energy_ev_per_atom": 0.813,
  "vol_a3_per_atom": 15.2,
  "lattice": [[0.0000, 3.1227, 3.1227], [3.1227, 0.0000, 3.1227], [3.1227, 3.1227, 0.0000]],
  "species": ["Fe", "Os", "Se", "Se"],
  "frac_coords": [[0.0000, 0.0000, 0.0000], [0.2500, 0.2500, 0.2500], [0.5000, 0.5000, 0.5000], [0.7500, 0.7500, 0.7500]]
}